Record 1
Here is an optimized crystal structure of Zr2TePb from Alexandria. Energies are from PBE.

Computed properties:
Electronic total energy   -6.28 eV/atom
Energy relative to the elements, uncorrected   -0.292 eV per atom

Lattice parameters (Å, degrees): 4.1808 4.1808 20.4284 90.00 90.00 120.00
Space group R-3m (No. 166, hexagonal axes)
Symmetry-distinct sites (fractional):
Zr1 0.0000 0.0000 0.2444 x6
Te1 0.0000 0.0000 0.5000 x3
Pb1 0.0000 0.0000 0.0000 x3

---

Record 2
Here is an optimized crystal structure of Nd3BiBr3 from Alexandria. Energies are from PBE.

Computed properties:
Electronic total energy   -4.60 eV/atom
Energy relative to the elements, uncorrected   -1.283 eV per atom

Lattice parameters (Å, degrees): 7.3981 7.3981 33.1418 90.00 90.00 120.00
Space group R-3 (No. 148, hexagonal axes)
Symmetry-distinct sites (fractional):
Nd1 0.0000 0.3112 0.4439 x18
Bi1 0.0000 0.0000 0.1667 x6
Br1 0.9999 0.3511 0.6099 x18

---

Record 3
Here is an optimized crystal structure of BeNbSiMo2 from Alexandria. Energies are from PBE.

Computed properties:
Electronic total energy   -7.79 eV/atom
Energy relative to the elements, uncorrected   0.390 eV per atom

Lattice parameters (Å, degrees): 4.384 4.384 3.823 90.00 90.00 90.00
Space group P4/mmm (No. 123)
Symmetry-distinct sites (fractional):
Be1 0.000 0.000 0.000 x1
Nb1 0.500 0.500 0.500 x1
Si1 0.000 0.000 0.500 x1
Mo1 0.000 0.500 0.000 x2

---

Record 4
Here is an optimized crystal structure of RbLiMo2 from Alexandria. Energies are from PBE.

Computed properties:
E_form   1.6579 eV per atom
Electronic total energy   -4.48 eV/atom

Lattice parameters (Å, degrees): 4.588 4.588 22.122 90.00 90.00 90.00
Space group I4_1/amd (No. 141, origin choice 2)
Symmetry-distinct sites (fractional):
Rb1 0.000 0.250 0.375 x4
Li1 0.000 0.250 0.875 x4
Mo1 0.000 0.000 0.000 x8

---

Record 5
Here is an optimized crystal structure of Pa2CuAsN5 from Alexandria. Energies are from PBE.

Computed properties:
Electronic total energy   -8.26 eV/atom
Energy relative to the elements, uncorrected   -0.550 eV per atom

Lattice parameters (Å, degrees): 3.475 13.713 9.471 90.00 90.00 90.00
Space group Cmc2_1 (No. 36)
Symmetry-distinct sites (fractional):
Pa1 0.000 0.101 0.000 x4
Pa2 0.000 0.152 0.367 x4
Cu1 0.000 0.472 0.201 x4
As1 0.000 0.194 0.670 x4
N1 0.000 0.025 0.222 x4
N2 0.000 0.274 0.974 x4
N3 0.000 0.329 0.295 x4
N4 0.000 0.329 0.676 x4
N5 0.000 0.493 0.980 x4

---

Record 6
Here is an optimized crystal structure of NdTm2Si2 from Alexandria. Energies are from PBE.

Computed properties:
Electronic total energy   -5.40 eV/atom
Energy relative to the elements, uncorrected   -0.486 eV per atom

Lattice parameters (Å, degrees): 5.532 4.177 11.225 90.00 97.52 90.00
Space group P2_1/m (No. 11)
Symmetry-distinct sites (fractional):
Nd1 0.085 0.250 0.279 x2
Tm1 0.246 0.250 0.954 x2
Tm2 0.407 0.250 0.625 x2
Si1 0.125 0.750 0.479 x2
Si2 0.275 0.750 0.127 x2

---

Record 7
Here is an optimized crystal structure of HoTi2 from Alexandria. Energies are from PBE.

Computed properties:
E_form   0.1774 eV per atom
Electronic total energy   -6.61 eV/atom

Lattice parameters (Å, degrees): 3.518 3.518 10.638 90.00 90.00 90.00
Space group I4/mmm (No. 139)
Symmetry-distinct sites (fractional):
Ho1 0.000 0.000 0.000 x2
Ti1 0.000 0.000 0.303 x4

---

Record 8
Here is an optimized crystal structure of Pm12Y7Cd from Alexandria. Energies are from PBE.

Computed properties:
E_form   0.8044 eV per atom
Electronic total energy   -4.35 eV/atom

Lattice parameters (Å, degrees): 12.165 12.165 12.165 90.00 90.00 90.00
Space group Im-3 (No. 204)
Symmetry-distinct sites (fractional):
Pm1 0.000 0.259 0.353 x24
Y1 0.000 0.000 0.500 x6
Y2 0.250 0.250 0.250 x8
Cd1 0.000 0.000 0.000 x2

---

Record 9
Here is an optimized crystal structure of Cs2CdHI from Alexandria. Energies are from PBE.

Computed properties:
Electronic total energy   -1.62 eV/atom

Lattice parameters (Å, degrees): 7.488 7.488 4.478 90.00 90.00 90.00
Space group P4/mmm (No. 123)
Symmetry-distinct sites (fractional):
Cs1 0.000 0.500 0.000 x2
Cd1 0.000 0.000 0.500 x1
H1 0.500 0.500 0.500 x1
I1 0.500 0.500 0.000 x1

---

Record 10
Here is an optimized crystal structure of ZrGa3Co2 from Alexandria. Energies are from PBE.

Computed properties:
E_form   -0.2745 eV per atom
Electronic total energy   -5.58 eV/atom

Lattice parameters (Å, degrees): 5.5994 5.5994 19.8886 90.00 90.00 120.00
Space group R-3m (No. 166, hexagonal axes)
Symmetry-distinct sites (fractional):
Zr1 0.0000 0.0000 0.2133 x6
Ga1 0.0044 0.5022 0.2399 x18
Co1 0.0000 0.0000 0.0000 x3
Co2 0.0000 0.5000 0.0000 x9

---

Record 11
Here is an optimized crystal structure of NbReSb2Te from Alexandria. Energies are from PBE.

Computed properties:
Electronic total energy   -5.60 eV/atom
Energy relative to the elements, uncorrected   1.183 eV per atom

Lattice parameters (Å, degrees): 5.062 5.062 5.541 90.00 90.00 90.00
Space group P4/mmm (No. 123)
Symmetry-distinct sites (fractional):
Nb1 0.000 0.000 0.000 x1
Re1 0.500 0.500 0.500 x1
Sb1 0.000 0.500 0.500 x2
Te1 0.500 0.500 0.000 x1

---

Record 12
Here is an optimized crystal structure of Ca2La2Sm5 from Alexandria. Energies are from PBE.

Computed properties:
E_form   0.0580 eV per atom
Electronic total energy   -4.10 eV/atom

Lattice parameters (Å, degrees): 6.434 6.441 8.217 82.55 74.71 80.83
Space group P-1 (No. 2)
Symmetry-distinct sites (fractional):
Ca1 0.224 0.443 0.113 x2
La1 0.113 0.205 0.567 x2
Sm1 0.000 0.000 0.000 x1
Sm2 0.338 0.671 0.651 x2
Sm3 0.449 0.897 0.226 x2

---

Record 13
Here is an optimized crystal structure of NbVZnCl2 from Alexandria. Energies are from PBE.

Computed properties:
Electronic total energy   -3.79 eV/atom
Energy relative to the elements, uncorrected   1.037 eV per atom

Lattice parameters (Å, degrees): 4.601 4.601 5.570 90.00 90.00 90.00
Space group P4/mmm (No. 123)
Symmetry-distinct sites (fractional):
Nb1 0.000 0.000 0.000 x1
V1 0.500 0.500 0.000 x1
Zn1 0.000 0.000 0.500 x1
Cl1 0.000 0.500 0.500 x2

---

Record 14
Here is an optimized crystal structure of BiSbH3 from Alexandria. Energies are from PBE.

Computed properties:
Electronic total energy   -2.91 eV/atom

Lattice parameters (Å, degrees): 4.132 4.132 4.132 90.00 90.00 90.00
Space group Pm-3m (No. 221)
Symmetry-distinct sites (fractional):
Bi1 0.000 0.000 0.000 x1
Sb1 0.500 0.500 0.500 x1
H1 0.000 0.500 0.500 x3

---

Record 15
Here is an optimized crystal structure of ThU2P3 from Alexandria. Energies are from PBE.

Computed properties:
E_form   -1.1283 eV per atom
Electronic total energy   -8.83 eV/atom

Lattice parameters (Å, degrees): 4.022 4.022 17.025 90.00 90.00 90.00
Space group I4/mmm (No. 139)
Symmetry-distinct sites (fractional):
Th1 0.000 0.000 0.000 x2
U1 0.000 0.000 0.333 x4
P1 0.000 0.000 0.170 x4
P2 0.000 0.000 0.500 x2

---

Record 16
Here is an optimized crystal structure of Pm2ThBi2N2 from Alexandria. Energies are from PBE.

Computed properties:
Electronic total energy   -6.78 eV/atom
Energy relative to the elements, uncorrected   -0.872 eV per atom

Lattice parameters (Å, degrees): 4.635 4.635 16.279 90.00 90.00 90.00
Space group I4/mmm (No. 139)
Symmetry-distinct sites (fractional):
Pm1 0.000 0.000 0.099 x4
Th1 0.000 0.000 0.500 x2
Bi1 0.000 0.000 0.293 x4
N1 0.000 0.500 0.000 x4

---

Record 17
Here is an optimized crystal structure of KRbSr from Alexandria. Energies are from PBE.

Computed properties:
E_form   0.1075 eV per atom
Electronic total energy   -1.14 eV/atom

Lattice parameters (Å, degrees): 4.454 4.454 21.260 90.00 90.00 90.00
Space group I4mm (No. 107)
Symmetry-distinct sites (fractional):
K1 0.000 0.000 0.000 x2
Rb1 0.000 0.000 0.320 x2
Sr1 0.000 0.000 0.654 x2

---

Record 18
Here is an optimized crystal structure of Dy2YMg from Alexandria. Energies are from PBE.

Computed properties:
E_form   -0.0237 eV per atom
Electronic total energy   -4.34 eV/atom

Lattice parameters (Å, degrees): 3.607 3.607 9.151 90.00 90.00 90.00
Space group P4/mmm (No. 123)
Symmetry-distinct sites (fractional):
Dy1 0.000 0.000 0.232 x2
Y1 0.500 0.500 0.500 x1
Mg1 0.500 0.500 0.000 x1

---

Record 19
Here is an optimized crystal structure of KMnZn2 from Alexandria. Energies are from PBE.

Computed properties:
E_form   0.4861 eV per atom
Electronic total energy   -2.72 eV/atom

Lattice parameters (Å, degrees): 5.097 5.097 17.898 90.00 90.00 90.00
Space group I4_1/amd (No. 141, origin choice 2)
Symmetry-distinct sites (fractional):
K1 0.000 0.250 0.375 x4
Mn1 0.000 0.250 0.875 x4
Zn1 0.000 0.000 0.000 x8

---

Record 20
Here is an optimized crystal structure of Al2HgF from Alexandria. Energies are from PBE.

Computed properties:
Electronic total energy   -2.85 eV/atom
Energy relative to the elements, uncorrected   -0.440 eV per atom

Lattice parameters (Å, degrees): 6.476 6.476 6.476 90.00 90.00 90.00
Space group Fm-3m (No. 225)
Symmetry-distinct sites (fractional):
Al1 0.250 0.250 0.250 x8
Hg1 0.000 0.000 0.000 x4
F1 0.000 0.000 0.500 x4